# 1
## Li8CuAg2 (PBE-GGA)

Data for crystalline Li8CuAg2 at its relaxed geometry.

The total energy comes out at -2.358 eV/atom. The calculation puts the excess energy over the best structure of this formula in the dataset at 0.0 meV per atom. For the formation energy, the calculation gives -76 meV/atom.

It has space group Immm (No. 71), with a = 4.542 Å, b = 7.593 Å, c = 10.804 Å, α = 90.00°, β = 90.00° and γ = 90.00°. Symmetry generates all atoms from Li at (0.000, 0.000, 0.130), Li at (0.000, 0.199, 0.353), Li at (0.000, 0.322, 0.000), Cu at (0.000, 0.500, 0.500) and Ag at (0.000, 0.500, 0.226).

=====

# 2
## Nd3Ho2Hg6 (PBE-GGA)

Data for crystalline Nd3Ho2Hg6 at its relaxed geometry.

The total energy comes out at -2.480 eV/atom. For the formation energy, the calculation gives -182 meV/atom.

It has space group I4/mmm (No. 139), with a = 4.470 Å, b = 4.470 Å, c = 33.015 Å, α = 90.00°, β = 90.00° and γ = 90.00°. Symmetry generates all atoms from Nd at (0.000, 0.000, 0.000), Nd at (0.000, 0.000, 0.182), Ho at (0.000, 0.000, 0.370), Hg at (0.000, 0.000, 0.279) and Hg at (0.000, 0.500, 0.069).

=====

# 3
## BaTlIn2Pb (PBE-GGA)

Data for crystalline BaTlIn2Pb at its relaxed geometry.

The total energy comes out at -2.960 eV/atom. For the formation energy, the calculation gives -266 meV/atom.

It has space group Imm2 (No. 44), with a = 5.034 Å, b = 5.585 Å, c = 12.026 Å, α = 90.00°, β = 90.00° and γ = 90.00°. Symmetry generates all atoms from Ba at (0.000, 0.000, 0.000), Tl at (0.000, 0.000, 0.389), In at (0.000, 0.000, 0.631), In at (0.000, 0.500, 0.265) and Pb at (0.000, 0.500, 0.739).

=====

# 4
## Na2LiPt (PBE-GGA)

Data for crystalline Na2LiPt at its relaxed geometry.

The total energy comes out at -2.584 eV/atom. The calculation puts the excess energy over the best structure of this formula in the dataset at 128.6 meV per atom. For the formation energy, the calculation gives 64 meV/atom.

It has space group I-42d (No. 122), with a = 3.987 Å, b = 3.987 Å, c = 20.418 Å, α = 90.00°, β = 90.00° and γ = 90.00°. Symmetry generates all atoms from Na at (0.242, 0.250, 0.125), Li at (0.000, 0.000, 0.500) and Pt at (0.000, 0.000, 0.000).

=====

# 5
## SrPr4Mg5 (PBE-GGA)

Data for crystalline SrPr4Mg5 at its relaxed geometry.

The total energy comes out at -2.976 eV/atom. For the formation energy, the calculation gives -98 meV/atom.

It has space group P4/mmm (No. 123), with a = 3.964 Å, b = 3.964 Å, c = 19.863 Å, α = 90.00°, β = 90.00° and γ = 90.00°. Symmetry generates all atoms from Sr at (0.000, 0.000, 0.000), Pr at (0.000, 0.000, 0.211), Pr at (0.000, 0.000, 0.403), Mg at (0.500, 0.500, 0.115), Mg at (0.500, 0.500, 0.306) and Mg at (0.500, 0.500, 0.500).

=====

# 6
## YMnCd2 (PBE-GGA)

Data for crystalline YMnCd2 at its relaxed geometry.

The total energy comes out at -4.285 eV/atom. For the formation energy, the calculation gives 81 meV/atom.

It has space group Pm (No. 6), with a = 3.326 Å, b = 4.842 Å, c = 5.812 Å, α = 90.00°, β = 92.54° and γ = 90.00°. Symmetry generates all atoms from Y at (0.000, 0.000, 0.000), Mn at (0.467, 0.500, 0.766), Cd at (0.498, 0.000, 0.519) and Cd at (0.532, 0.500, 0.254).

=====

# 7
## LiCoPb2 (PBE-GGA)

Data for crystalline LiCoPb2 at its relaxed geometry.

The total energy comes out at -3.777 eV/atom. For the formation energy, the calculation gives 332 meV/atom.

It has space group I-42d (No. 122), with a = 7.695 Å, b = 7.695 Å, c = 6.289 Å, α = 90.00°, β = 90.00° and γ = 90.00°. Symmetry generates all atoms from Li at (0.000, 0.000, 0.000), Co at (0.000, 0.000, 0.500) and Pb at (0.204, 0.750, 0.625).

=====

# 8
## TmCoSi3Ni (PBE-GGA)

Data for crystalline TmCoSi3Ni at its relaxed geometry.

The total energy comes out at -5.974 eV/atom.

It has space group Cmcm (No. 63), with a = 5.931 Å, b = 12.510 Å, c = 5.409 Å, α = 90.00°, β = 90.00° and γ = 90.00°. Symmetry generates all atoms from Tm at (0.000, 0.196, 0.250), Co at (0.000, 0.046, 0.750), Si at (0.000, 0.217, 0.750), Si at (0.209, 0.500, 0.000) and Ni at (0.000, 0.387, 0.750).

=====

# 9
## La2TbPr2Cd5 (PBE-GGA)

Data for crystalline La2TbPr2Cd5 at its relaxed geometry.

The total energy comes out at -3.055 eV/atom. For the formation energy, the calculation gives -193 meV/atom.

It has space group P4/mbm (No. 127), with a = 10.875 Å, b = 10.875 Å, c = 4.906 Å, α = 90.00°, β = 90.00° and γ = 90.00°. Symmetry generates all atoms from La at (0.175, 0.325, 0.000), Tb at (0.000, 0.000, 0.000), Pr at (0.126, 0.626, 0.000), Cd at (0.000, 0.500, 0.500) and Cd at (0.068, 0.812, 0.500).

=====

# 10
## LaPm4Er8 (PBE-GGA)

Data for crystalline LaPm4Er8 at its relaxed geometry.

The total energy comes out at -4.459 eV/atom. For the formation energy, the calculation gives 190 meV/atom.

It has space group R-3m (No. 166, hexagonal axes), with a = 7.3600 Å, b = 7.3600 Å, c = 26.9302 Å, α = 90.00°, β = 90.00° and γ = 120.00°. Symmetry generates all atoms from La at (0.0000, 0.0000, 0.0000), Pm at (0.0000, 0.0000, 0.5000), Pm at (0.0000, 0.5000, 0.5000), Er at (0.0000, 0.0000, 0.2810) and Er at (0.0399, 0.5199, 0.2704).

=====

# 11
## Ac2SmAs2S2 (PBE-GGA)

Data for crystalline Ac2SmAs2S2 at its relaxed geometry.

The total energy comes out at -5.662 eV/atom.

It has space group I4/mmm (No. 139), with a = 5.405 Å, b = 5.405 Å, c = 15.246 Å, α = 90.00°, β = 90.00° and γ = 90.00°. Symmetry generates all atoms from Ac at (0.000, 0.000, 0.133), Sm at (0.000, 0.000, 0.500), As at (0.000, 0.500, 0.000) and S at (0.000, 0.000, 0.317).

=====

# 12
## MnCr2Cl (PBE-GGA)

Data for crystalline MnCr2Cl at its relaxed geometry.

The total energy comes out at -7.455 eV/atom. The calculation puts the excess energy over the best structure of this formula in the dataset at 15.5 meV per atom.

It has space group Pmm2 (No. 25), with a = 2.934 Å, b = 3.006 Å, c = 6.895 Å, α = 90.00°, β = 90.00° and γ = 90.00°. Symmetry generates all atoms from Mn at (0.000, 0.000, 0.000), Cr at (0.000, 0.000, 0.593), Cr at (0.500, 0.500, 0.790) and Cl at (0.500, 0.000, 0.292).